Below is crystalline NiRhO2 at its relaxed geometry, with properties calculated at the GGA+U level.

Total moment ... 0.000 μB/cell
Symmetry ... Pbam, No. 55
Uncorrected energy ... -22.03 eV per formula unit

Geometry as POSCAR:
```
NiRhO2
1.0
5.509 0.000 0.000
0.000 5.521 0.000
0.000 0.000 2.787
Ni Rh O
2 2 4
Direct
0.000 0.000 0.000 Ni
0.500 0.500 0.000 Ni
0.000 0.500 0.500 Rh
0.500 0.000 0.500 Rh
0.161 0.162 0.500 O
0.339 0.662 0.500 O
0.661 0.338 0.500 O
0.839 0.838 0.500 O
```